# DyCd5 PBE-GGA optimized geometry
data_DyCd5
_chemical_formula_sum 'Dy1 Cd5'
_cell_length_a 4.676
_cell_length_b 4.605
_cell_length_c 6.905
_cell_angle_alpha 109.48
_cell_angle_beta 90.00
_cell_angle_gamma 90.00
_space_group_name_H-M_alt 'P 1'
_space_group_IT_number 1
_space_group_name_Hall 'P 1'
loop_
_atom_site_label
_atom_site_type_symbol
_atom_site_fract_x
_atom_site_fract_y
_atom_site_fract_z
Cd1 Cd 0.500 0.834 0.668
Cd2 Cd 0.500 0.166 0.332
Cd3 Cd 0.500 0.500 0.000
Cd4 Cd 0.000 0.326 0.651
Cd5 Cd 0.000 0.674 0.349
Dy1 Dy 0.000 0.000 0.000
# **Energy relative to the elements**: -1.1 eV per formula unit
# **SG**: Cmmm (65)
# **D(E_F)**: 2.77 states/eV/f.u.